Computed, not measured: a relaxed Tb4CeDy5 crystal at the PBE level of DFT.

Lattice parameters (Å, degrees): 12.7865 12.7865 7.0857 97.96 97.96 15.94
Sites, in units of the cell vectors:
Tb (0.0986, 0.0986, 0.2970)
Tb (0.2994, 0.2994, 0.8985)
Tb (0.7006, 0.7006, 0.1015)
Tb (0.9014, 0.9014, 0.7030)
Ce (0.5000, 0.5000, 0.0000)
Dy (0.0989, 0.0989, 0.8022)
Dy (0.3004, 0.3004, 0.4010)
Dy (0.5000, 0.5000, 0.5000)
Dy (0.6996, 0.6996, 0.5990)
Dy (0.9011, 0.9011, 0.1978)

Output
* crystal system: monoclinic
* magnetization: 0.8 μB per formula unit
* offset from the most stable computed form: 0.00 eV per formula unit
* formation energy: 0.032 eV/atom